# PtC2Br

A geometry-optimized PtC2Br structure (PBE-GGA, Alexandria via LeMat-Bulk).

CIF file:
```
data_PtC2Br
_chemical_formula_sum 'Pt2 C4 Br2'
_symmetry_space_group_name_H-M 'P 1'
_symmetry_Int_Tables_number 1
_symmetry_space_group_name_Hall 'P 1'
_cell_length_a 5.536
_cell_length_b 5.536
_cell_length_c 6.025
_cell_angle_alpha 62.65
_cell_angle_beta 62.65
_cell_angle_gamma 90.00
loop_
_atom_site_label
_atom_site_fract_x
_atom_site_fract_y
_atom_site_fract_z
_atom_site_occupancy
C1 0.736 0.125 0.250 1
C2 0.375 0.264 0.750 1
C3 0.875 0.986 0.750 1
C4 0.014 0.625 0.250 1
Br1 0.500 0.500 0.000 1
Br2 0.250 0.750 0.500 1
Pt1 0.000 0.000 0.000 1
Pt2 0.750 0.250 0.500 1
```

Summary:
offset from the most stable computed form	0.000	eV per atom
ΔE_f (raw)	1.677	eV/atom
crystal system	tetragonal


# CeSm4S6

A geometry-optimized CeSm4S6 structure (PBE-GGA, Alexandria via LeMat-Bulk).

CIF file:
```
data_CeSm4S6
_chemical_formula_sum 'Ce2 Sm8 S12'
_symmetry_space_group_name_H-M 'P 1'
_symmetry_Int_Tables_number 1
_symmetry_space_group_name_Hall 'P 1'
_cell_length_a 3.955
_cell_length_b 6.904
_cell_length_c 20.143
_cell_angle_alpha 90.00
_cell_angle_beta 90.00
_cell_angle_gamma 106.64
loop_
_atom_site_label
_atom_site_fract_x
_atom_site_fract_y
_atom_site_fract_z
_atom_site_occupancy
S1 0.308 0.617 0.250 1
S2 0.231 0.462 0.910 1
S3 0.049 0.098 0.332 1
S4 0.769 0.538 0.090 1
S5 0.049 0.098 0.168 1
S6 0.951 0.902 0.668 1
S7 0.231 0.462 0.590 1
S8 0.500 0.000 0.500 1
S9 0.692 0.383 0.750 1
S10 0.500 0.000 0.000 1
S11 0.951 0.902 0.832 1
S12 0.769 0.538 0.410 1
Sm1 0.139 0.279 0.041 1
Sm2 0.591 0.182 0.872 1
Sm3 0.409 0.818 0.372 1
Sm4 0.409 0.818 0.128 1
Sm5 0.139 0.279 0.459 1
Sm6 0.591 0.182 0.628 1
Sm7 0.861 0.721 0.541 1
Sm8 0.861 0.721 0.959 1
Ce1 0.344 0.689 0.750 1
Ce2 0.656 0.311 0.250 1
```

Summary:
ΔE_f (raw)	-2.034	eV/atom
crystal system	orthorhombic